{
  "formula": "SrPdW3",
  "functional": "PBEsol",
  "state": "relaxed",
  "formation_enthalpy_0k_ev_per_atom": 2.14,
  "dft_energy_ev_per_atom": -7.70,
  "cell": [[4.827, 0.000, 0.000], [0.000, 4.827, 0.000], [0.000, 0.000, 4.827]],
  "species": ["Sr", "Pd", "W", "W", "W"],
  "frac_coords": [[0.000, 0.000, 0.000], [0.500, 0.500, 0.500], [0.000, 0.500, 0.500], [0.500, 0.000, 0.500], [0.500, 0.500, 0.000]]
}